A relaxed structure of KRbHfTe3. Source: Alexandria, functional GGA-PBE.

Values from the calculation:
Calculated volume in Å³ per atom: 41.7
E_form (uncorrected) in meV/atom: -786

Geometry as CIF:
```
data_KRbHfTe3
_cell_length_a 11.936
_cell_length_b 9.036
_cell_length_c 9.782
_cell_angle_alpha 90.00
_cell_angle_beta 108.59
_cell_angle_gamma 90.00
_space_group_name_H-M_alt 'C 1 2/m 1'
_space_group_IT_number 12
_space_group_name_Hall '-C 2y'
loop_
_atom_site_label
_atom_site_type_symbol
_atom_site_fract_x
_atom_site_fract_y
_atom_site_fract_z
K1 K 0.000 0.239 0.000
Rb1 Rb 0.164 0.500 0.675
Hf1 Hf 0.085 0.000 0.646
Te1 Te 0.086 0.212 0.375
Te2 Te 0.242 0.000 0.915
```

***

A relaxed structure of K3Co. Source: Alexandria, functional GGA-PBE.

Values from the calculation:
Calculated volume in Å³ per atom: 48.0
E_form in kcal/mol of atoms: 17.61
Energy above the most stable polymorph in this dataset in eV per atom: 0.033

Geometry as CIF:
```
data_K3Co
_cell_length_a 5.826
_cell_length_b 8.112
_cell_length_c 8.120
_cell_angle_alpha 90.00
_cell_angle_beta 90.06
_cell_angle_gamma 90.00
_space_group_name_H-M_alt 'P 1 21/c 1'
_space_group_IT_number 14
_space_group_name_Hall '-P 2ybc'
loop_
_atom_site_label
_atom_site_type_symbol
_atom_site_fract_x
_atom_site_fract_y
_atom_site_fract_z
K1 K 0.000 0.000 0.000
K2 K 0.499 0.181 0.319
Co1 Co 0.000 0.000 0.500
```

***

A relaxed structure of TlCoSe2. Source: Alexandria, functional GGA-PBE.

Values from the calculation:
Calculated volume in Å³ per atom: 23.1
E_form (uncorrected) in meV/atom: 76

Geometry as CIF:
```
data_TlCoSe2
_cell_length_a 3.582
_cell_length_b 6.009
_cell_length_c 8.596
_cell_angle_alpha 90.00
_cell_angle_beta 90.00
_cell_angle_gamma 90.00
_space_group_name_H-M_alt 'C m m m'
_space_group_IT_number 65
_space_group_name_Hall '-C 2 2'
loop_
_atom_site_label
_atom_site_type_symbol
_atom_site_fract_x
_atom_site_fract_y
_atom_site_fract_z
Tl1 Tl 0.000 0.000 0.000
Co1 Co 0.000 0.000 0.500
Se1 Se 0.000 0.500 0.323
```

***

A relaxed structure of AgSb2WI. Source: Alexandria, functional GGA-PBE.

Values from the calculation:
Calculated volume in Å³ per atom: 31.7
E_form (uncorrected) in meV/atom: 805
Energy above the most stable polymorph in this dataset in eV per atom: 0.000

Geometry as CIF:
```
data_AgSb2WI
_cell_length_a 5.183
_cell_length_b 5.183
_cell_length_c 5.898
_cell_angle_alpha 90.00
_cell_angle_beta 90.00
_cell_angle_gamma 90.00
_space_group_name_H-M_alt 'P 4/m m m'
_space_group_IT_number 123
_space_group_name_Hall '-P 4 2'
loop_
_atom_site_label
_atom_site_type_symbol
_atom_site_fract_x
_atom_site_fract_y
_atom_site_fract_z
Ag1 Ag 0.000 0.000 0.000
Sb1 Sb 0.000 0.500 0.500
W1 W 0.500 0.500 0.500
I1 I 0.500 0.500 0.000
```